First-principles (GGA-PBE) data for a geometry-optimized Ba2NaPd2 structure, as listed in the Alexandria database.

Geometry as POSCAR:
```
Ba2NaPd2
1.0
8.538 0.000 0.000
0.000 8.538 0.000
0.000 0.000 4.420
Ba Na Pd
4 2 4
Direct
0.331 0.169 0.500
0.169 0.669 0.500
0.669 0.831 0.500
0.831 0.331 0.500
0.500 0.500 0.000
0.000 0.000 0.000
0.618 0.118 0.000
0.382 0.882 0.000
0.882 0.618 0.000
0.118 0.382 0.000
```

Output
The calculation puts the distance to the lowest polymorph of the same formula at 22.5 meV per atom. As for the mass density: 5.3 g/cm3. Its density of states at the Fermi level is 6.01 states/eV/f.u.